[1]
## PrSmTe2Au (GGA-PBE)

Data for a geometry-optimized PrSmTe2Au structure.

Results
Crystal system: tetragonal
Raw formation energy (eV per atom): -1.22
N(E_F) (states/eV per cell): 3.2
Volume (Å³/cell): 298.2
Total energy (eV per atom): -5.029
Symmetry: P4/nmm

Structure (POSCAR):
```
PrSmTe2Au
1.0
-1.649 -3.693 -1.720
4.063 -1.626 -0.404
-1.044 -6.121 14.138
Pr Sm Te Au
2 2 4 2
Direct
0.500 0.000 0.645 Pr
0.000 0.500 0.355 Pr
0.500 0.000 0.087 Sm
0.000 0.500 0.913 Sm
0.000 0.500 0.705 Te
0.000 0.500 0.119 Te
0.500 0.000 0.881 Te
0.500 0.000 0.295 Te
0.000 0.000 0.500 Au
0.500 0.500 0.500 Au
```

=====

[2]
## U3Ag3RhSe8 (GGA-PBE)

Data for a geometry-optimized U3Ag3RhSe8 structure.

Results
Crystal system: trigonal
Raw formation energy (eV per atom): -0.63
N(E_F) (states/eV per cell): 15.8
Volume (Å³/cell): 373.9
Total energy (eV per atom): -5.806
Symmetry: R-3m

Structure (POSCAR):
```
U3Ag3RhSe8
1.0
-6.683 -1.706 -3.941
3.178 -5.357 4.935
-3.584 6.702 3.177
U Ag Rh Se
3 3 1 8
Direct
0.500 0.000 0.500 U
0.500 0.500 0.500 U
0.000 0.500 0.500 U
0.000 0.000 0.000 Ag
0.000 0.500 0.000 Ag
0.500 0.500 0.000 Ag
0.000 0.000 0.500 Rh
0.251 0.502 0.253 Se
0.749 0.498 0.747 Se
0.771 0.541 0.269 Se
0.229 0.459 0.731 Se
0.770 0.998 0.269 Se
0.230 0.002 0.731 Se
0.228 0.998 0.269 Se
0.772 0.002 0.731 Se
```

=====

[3]
## LiCrIn (GGA-PBE)

Data for a geometry-optimized LiCrIn structure.

Results
Crystal system: trigonal
Polymorph energy (0 for the lowest one) (eV per atom): 0.000
N(E_F) (states/eV per cell): 1.4
Volume (Å³/cell): 53.4
Total energy (eV per atom): -4.549
Symmetry: P3m1
Energy relative to the elements (eV/atom): 0.21

Structure (POSCAR):
```
LiCrIn
1.0
4.547 0.000 0.000
-2.273 3.937 0.000
0.000 0.000 2.981
Cr In Li
1 1 1
Direct
0.000 0.000 0.958 Cr
0.667 0.333 0.393 In
0.333 0.667 0.649 Li
```

=====

[4]
## Mg2CdW (GGA-PBE)

Data for a geometry-optimized Mg2CdW structure.

Results
Crystal system: tetragonal
N(E_F) (states/eV per cell): 1.4
Volume (Å³/cell): 161.2
Total energy (eV per atom): -3.331
Symmetry: I-42d
Energy relative to the elements (eV/atom): 0.93

Structure (POSCAR):
```
Mg2CdW
1.0
-0.272 -3.464 -6.648
7.307 -1.608 0.539
2.878 -5.001 -1.744
Mg W Cd
4 2 2
Direct
0.617 0.125 0.250 Mg
0.133 0.625 0.250 Mg
0.375 0.383 0.750 Mg
0.875 0.867 0.750 Mg
0.000 0.000 0.000 W
0.750 0.250 0.500 W
0.500 0.500 0.000 Cd
0.250 0.750 0.500 Cd
```

=====

[5]
## Na2SeBr6 (GGA-PBE)

Data for a geometry-optimized Na2SeBr6 structure.

Results
Crystal system: monoclinic
Raw formation energy (eV per atom): -0.75
N(E_F) (states/eV per cell): 0.0
Volume (Å³/cell): 551.5
Total energy (eV per atom): -2.546
Symmetry: P2_1/c

Structure (POSCAR):
```
Na2SeBr6
1.0
7.102 0.000 0.152
0.000 7.498 0.000
-0.660 0.000 10.342
Na Se Br
4 2 12
Direct
0.965 0.399 0.774 Na
0.535 0.899 0.726 Na
0.465 0.101 0.274 Na
0.035 0.601 0.226 Na
0.500 0.500 0.000 Se
0.000 0.000 0.500 Se
0.870 0.971 0.262 Br
0.824 0.707 0.558 Br
0.794 0.688 0.941 Br
0.706 0.188 0.559 Br
0.676 0.207 0.942 Br
0.630 0.471 0.238 Br
0.130 0.029 0.738 Br
0.176 0.293 0.442 Br
0.206 0.312 0.059 Br
0.294 0.812 0.441 Br
0.324 0.793 0.058 Br
0.370 0.529 0.762 Br
```

=====

[6]
## CsMoOs3 (GGA-PBE)

Data for a geometry-optimized CsMoOs3 structure.

Results
Crystal system: cubic
Polymorph energy (0 for the lowest one) (eV per atom): 1.992
N(E_F) (states/eV per cell): 13.1
Volume (Å³/cell): 111.3
Total energy (eV per atom): -4.833
Symmetry: Pm-3m
Energy relative to the elements (eV/atom): 4.24

Structure (POSCAR):
```
CsMoOs3
1.0
-1.291 1.803 -4.269
3.564 -2.446 -2.110
-2.961 -3.729 -0.679
Cs Mo Os
1 1 3
Direct
0.000 0.000 0.000 Cs
0.500 0.500 0.500 Mo
0.000 0.500 0.000 Os
0.000 0.000 0.500 Os
0.500 0.000 0.000 Os
```

=====

[7]
## Cs2GaBi2Pb (GGA-PBE)

Data for a geometry-optimized Cs2GaBi2Pb structure.

Results
Crystal system: orthorhombic
N(E_F) (states/eV per cell): 3.2
Volume (Å³/cell): 526.3
Total energy (eV per atom): -2.978
Symmetry: Ibam
Energy relative to the elements (eV/atom): -0.28

Structure (POSCAR):
```
Cs2GaBi2Pb
1.0
-1.568 -1.312 -7.680
2.634 -7.307 0.710
-8.347 1.691 5.527
Cs Ga Bi Pb
4 2 4 2
Direct
0.425 0.166 0.332 Cs
0.575 0.834 0.668 Cs
0.093 0.334 0.668 Cs
0.907 0.666 0.332 Cs
0.500 0.750 0.000 Ga
0.500 0.250 0.000 Ga
0.813 0.085 0.171 Bi
0.358 0.585 0.171 Bi
0.642 0.415 0.829 Bi
0.187 0.915 0.829 Bi
0.000 0.750 0.000 Pb
0.000 0.250 0.000 Pb
```

=====

[8]
## Sm6Y3Ho2Zr (GGA-PBE)

Data for a geometry-optimized Sm6Y3Ho2Zr structure.

Results
Crystal system: monoclinic
N(E_F) (states/eV per cell): 15.7
Volume (Å³/cell): 380.1
Total energy (eV per atom): -5.401
Symmetry: C2/m
Energy relative to the elements (eV/atom): 0.05

Structure (POSCAR):
```
Sm6Y3Ho2Zr
1.0
6.160 0.003 0.006
-3.076 5.337 0.006
-1.033 -1.788 11.554
Sm Y Ho Zr
6 3 2 1
Direct
0.919 0.592 0.756 Sm
0.754 0.754 0.243 Sm
0.081 0.408 0.244 Sm
0.592 0.919 0.756 Sm
0.246 0.246 0.757 Sm
0.408 0.081 0.244 Sm
0.166 0.834 0.500 Y
0.834 0.166 0.500 Y
0.500 0.500 0.500 Y
0.333 0.667 0.000 Ho
0.667 0.333 0.000 Ho
0.000 0.000 0.000 Zr
```